Record 1
Here is a relaxed Eu2GdIr crystal from the Alexandria database. Energies are from PBE.

Computed properties:
Crystal system = trigonal
DFT formation energy = 0.110 eV per atom
Volume = 401.8 Å³ per cell
Fermi-level density of states = 3.340 states/eV per atom

CIF file:
```
data_Eu2GdIr
_chemical_formula_sum 'Eu6 Gd3 Ir3'
_cell_length_a 3.8346
_cell_length_b 3.8346
_cell_length_c 31.5497
_cell_angle_alpha 90.00
_cell_angle_beta 90.00
_cell_angle_gamma 120.00
_space_group_name_H-M_alt 'R -3 m'
_space_group_IT_number 166
_space_group_name_Hall '-R 3 2"'
loop_
_atom_site_label
_atom_site_fract_x
_atom_site_fract_y
_atom_site_fract_z
_atom_site_occupancy
Eu1 0.0000 0.0000 0.1108 1
Gd1 0.0000 0.0000 0.0000 1
Ir1 0.0000 0.0000 0.5000 1
```


Record 2
Here is a relaxed Tm3Ru crystal from the Alexandria database. Energies are from PBE.

Computed properties:
Crystal system = tetragonal
DFT formation energy = -0.315 eV per atom
Volume = 792.0 Å³ per cell
Fermi-level density of states = 0.935 states/eV per atom

CIF file:
```
data_Tm3Ru
_chemical_formula_sum 'Tm24 Ru8'
_cell_length_a 11.487
_cell_length_b 11.487
_cell_length_c 6.002
_cell_angle_alpha 90.00
_cell_angle_beta 90.00
_cell_angle_gamma 90.00
_space_group_name_H-M_alt 'I -4 2 m'
_space_group_IT_number 121
_space_group_name_Hall 'I -4 2'
loop_
_atom_site_label
_atom_site_fract_x
_atom_site_fract_y
_atom_site_fract_z
_atom_site_occupancy
Tm1 0.000 0.358 0.000 1
Tm2 0.096 0.096 0.740 1
Tm3 0.203 0.203 0.295 1
Ru1 0.000 0.288 0.500 1
```


Record 3
Here is a relaxed NpTi2H crystal from the Alexandria database. Energies are from PBE.

Computed properties:
Crystal system = tetragonal
Energy above the most stable polymorph in this dataset = 17.92 kJ per mole of atoms
Volume = 53.7 Å³ per cell
Fermi-level density of states = 1.581 states/eV per atom

CIF file:
```
data_NpTi2H
_chemical_formula_sum 'Np1 Ti2 H1'
_cell_length_a 2.657
_cell_length_b 2.657
_cell_length_c 7.607
_cell_angle_alpha 90.00
_cell_angle_beta 90.00
_cell_angle_gamma 90.00
_space_group_name_H-M_alt 'P 4/m m m'
_space_group_IT_number 123
_space_group_name_Hall '-P 4 2'
loop_
_atom_site_label
_atom_site_fract_x
_atom_site_fract_y
_atom_site_fract_z
_atom_site_occupancy
Np1 0.000 0.000 0.000 1
Ti1 0.500 0.500 0.322 1
H1 0.000 0.000 0.500 1
```


Record 4
Here is a relaxed AlBiPb2 crystal from the Alexandria database. Energies are from PBE.

Computed properties:
Crystal system = tetragonal
Energy above the most stable polymorph in this dataset = 2.12 kJ per mole of atoms
DFT formation energy = 0.195 eV per atom
Volume = 116.1 Å³ per cell
Fermi-level density of states = 0.575 states/eV per atom

CIF file:
```
data_AlBiPb2
_chemical_formula_sum 'Al1 Bi1 Pb2'
_cell_length_a 4.077
_cell_length_b 4.077
_cell_length_c 6.984
_cell_angle_alpha 90.00
_cell_angle_beta 90.00
_cell_angle_gamma 90.00
_space_group_name_H-M_alt 'P 4/m m m'
_space_group_IT_number 123
_space_group_name_Hall '-P 4 2'
loop_
_atom_site_label
_atom_site_fract_x
_atom_site_fract_y
_atom_site_fract_z
_atom_site_occupancy
Al1 0.000 0.000 0.000 1
Bi1 0.000 0.000 0.500 1
Pb1 0.500 0.500 0.237 1
```


Record 5
Here is a relaxed BaCrPb2Cl8 crystal from the Alexandria database. Energies are from PBE.

Computed properties:
Crystal system = monoclinic
Formation energy (no corrections) = -1401 meV/atom
Volume = 390.3 Å³ per cell
Fermi-level density of states = 0.016 states/eV per atom

CIF file:
```
data_BaCrPb2Cl8
_chemical_formula_sum 'Ba1 Cr1 Pb2 Cl8'
_cell_length_a 6.560
_cell_length_b 8.698
_cell_length_c 6.852
_cell_angle_alpha 90.00
_cell_angle_beta 93.45
_cell_angle_gamma 90.00
_space_group_name_H-M_alt 'P 1 2/m 1'
_space_group_IT_number 10
loop_
_space_group_symop_operation_xyz
'x,y,z'
'-x,-y,-z'
'-x,y,-z'
'x,-y,z'
loop_
_atom_site_label
_atom_site_fract_x
_atom_site_fract_y
_atom_site_fract_z
_atom_site_occupancy
Ba1 0.000 0.000 0.000 1
Cr1 0.000 0.500 0.000 1
Pb1 0.500 0.272 0.500 1
Cl1 0.211 0.301 0.151 1
Cl2 0.263 0.500 0.673 1
Cl3 0.288 0.000 0.665 1
```


Record 6
Here is a relaxed Cs3La2BiTe6 crystal from the Alexandria database. Energies are from PBE.

Computed properties:
Crystal system = monoclinic
Formation energy (no corrections) = -1200 meV/atom
Volume = 1041.8 Å³ per cell
Fermi-level density of states = 0.000 states/eV per atom

CIF file:
```
data_Cs3La2BiTe6
_chemical_formula_sum 'Cs6 La4 Bi2 Te12'
_cell_length_a 8.209
_cell_length_b 14.221
_cell_length_c 9.335
_cell_angle_alpha 90.00
_cell_angle_beta 107.07
_cell_angle_gamma 90.00
_space_group_name_H-M_alt 'C 1 2/m 1'
_space_group_IT_number 12
loop_
_space_group_symop_operation_xyz
'x,y,z'
'-x,-y,-z'
'-x,y,-z'
'x,-y,z'
'x+1/2,y+1/2,z'
'-x+1/2,-y+1/2,-z'
'-x+1/2,y+1/2,-z'
'x+1/2,-y+1/2,z'
loop_
_atom_site_label
_atom_site_fract_x
_atom_site_fract_y
_atom_site_fract_z
_atom_site_occupancy
Cs1 0.000 0.000 0.000 1
Cs2 0.000 0.332 0.000 1
La1 0.000 0.166 0.500 1
Bi1 0.000 0.500 0.500 1
Te1 0.229 0.336 0.695 1
Te2 0.237 0.000 0.695 1
```


Record 7
Here is a relaxed Ag3SbS4 crystal from the Alexandria database. Energies are from PBE.

Computed properties:
Crystal system = tetragonal
Energy above the most stable polymorph in this dataset = 0.25 kJ per mole of atoms
Formation energy (no corrections) = -103 meV/atom
Volume = 397.3 Å³ per cell
Fermi-level density of states = 0.164 states/eV per atom

CIF file:
```
data_Ag3SbS4
_chemical_formula_sum 'Ag6 Sb2 S8'
_cell_length_a 5.855
_cell_length_b 5.855
_cell_length_c 11.589
_cell_angle_alpha 90.00
_cell_angle_beta 90.00
_cell_angle_gamma 90.00
_space_group_name_H-M_alt 'I -4 2 m'
_space_group_IT_number 121
_space_group_name_Hall 'I -4 2'
loop_
_atom_site_label
_atom_site_fract_x
_atom_site_fract_y
_atom_site_fract_z
_atom_site_occupancy
Ag1 0.000 0.000 0.000 1
Ag2 0.000 0.500 0.250 1
Sb1 0.000 0.000 0.500 1
S1 0.237 0.237 0.379 1
```


Record 8
Here is a relaxed KReTc2 crystal from the Alexandria database. Energies are from PBE.

Computed properties:
Crystal system = monoclinic
Energy above the most stable polymorph in this dataset = 7.63 kJ per mole of atoms
DFT formation energy = 0.791 eV per atom
Volume = 85.8 Å³ per cell
Fermi-level density of states = 1.301 states/eV per atom

CIF file:
```
data_KReTc2
_chemical_formula_sum 'K1 Re1 Tc2'
_cell_length_a 2.774
_cell_length_b 3.764
_cell_length_c 8.219
_cell_angle_alpha 90.00
_cell_angle_beta 90.19
_cell_angle_gamma 90.00
_space_group_name_H-M_alt 'P 1 2/m 1'
_space_group_IT_number 10
loop_
_space_group_symop_operation_xyz
'x,y,z'
'-x,-y,-z'
'-x,y,-z'
'x,-y,z'
loop_
_atom_site_label
_atom_site_fract_x
_atom_site_fract_y
_atom_site_fract_z
_atom_site_occupancy
K1 0.000 0.000 0.000 1
Re1 0.000 0.000 0.500 1
Tc1 0.495 0.500 0.345 1
```